DFT (GGA-PBE) results for a geometry-optimized ErAgTe3Pb structure.

Properties
Energy relative to the lowest polymorph listed for this composition: 0 meV/atom
Total DFT energy (no corrections): -4.13 eV per atom

a = 8.3173 Å, b = 4.3271 Å, c = 10.6622 Å
α = 90.00°, β = 106.48°, γ = 90.00°
Closest atoms and distances in Å follow each position.
Space group P2_1/m (No. 11)
Unique sites:
Er (0.1980, 0.2500, 0.1698) (multiplicity 2)  6 Te 3.05-3.09
Ag (0.4156, 0.7500, 0.4084) (multiplicity 2)  4 Te 2.80-3.02, 2 Ag 2.98
Te (0.0756, 0.2500, 0.8677) (multiplicity 2)  3 Er 3.08-3.09, 2 Pb 3.30
Te (0.2111, 0.2500, 0.4603) (multiplicity 2)  3 Ag 2.90-3.02, 1 Er 3.07
Te (0.4495, 0.7500, 0.1548) (multiplicity 2)  1 Ag 2.80, 2 Er 3.05
Pb (0.2378, 0.7500, 0.7037) (multiplicity 2)  7 Te 3.30-3.65